# 1
The following is a DFT calculation (GGA-PBE) of a relaxed PmDy2Pd crystal.

Values from the calculation:
- Energy of formation: -0.457 eV per atom
- D(E_F): 18.16 states/eV/cell
- Magnetic moment: 0.0 μB per formula unit
- Energy above the lowest structure with this stoichiometry: 0.0 meV/atom
- Total DFT energy (no corrections): -5.24 eV/atom

Unit cell a=7.1017 b=9.7369 c=6.5315 alpha=90.00 beta=90.00 gamma=90.00
Space group Pnma (No. 62)
Asymmetric unit:
Pm  0.0196  0.2500  0.1345
Dy  0.1794  0.0602  0.6718
Pd  0.1126  0.7500  0.4277

# 2
The following is a DFT calculation (GGA-PBE) of a relaxed LaGaHg2 crystal.

Values from the calculation:
- Energy of formation: -0.377 eV per atom
- D(E_F): 3.36 states/eV/cell
- Magnetic moment: 0.0 μB per formula unit
- Total DFT energy (no corrections): -2.52 eV/atom

Unit cell a=4.5645 b=4.5645 c=4.9225 alpha=90.00 beta=90.00 gamma=90.00
Space group P4/mmm (No. 123)
Asymmetric unit:
La  0.0000  0.0000  0.0000
Ga  0.5000  0.5000  0.0000
Hg  0.0000  0.5000  0.5000

# 3
The following is a DFT calculation (GGA-PBE) of a relaxed PaNi2Mo crystal.

Values from the calculation:
- Energy of formation: -0.160 eV per atom
- D(E_F): 5.03 states/eV/cell
- Magnetic moment: 0.0 μB per formula unit
- Energy above the lowest structure with this stoichiometry: 0.0 meV/atom
- Total DFT energy (no corrections): -8.13 eV/atom

Unit cell a=4.0072 b=4.0072 c=3.8885 alpha=90.00 beta=90.00 gamma=90.00
Space group P4/mmm (No. 123)
Asymmetric unit:
Pa  0.0000  0.0000  0.0000
Ni  0.0000  0.5000  0.5000
Mo  0.5000  0.5000  0.0000

# 4
The following is a DFT calculation (GGA-PBE) of a relaxed Tb2CoPd crystal.

Values from the calculation:
- Energy of formation: -0.508 eV per atom
- D(E_F): 1.56 states/eV/cell
- Magnetic moment: 0.2 μB per formula unit
- Total DFT energy (no corrections): -5.90 eV/atom

Unit cell a=3.4193 b=3.4193 c=6.9387 alpha=90.00 beta=90.00 gamma=90.00
Space group P4/mmm (No. 123)
Asymmetric unit:
Tb  0.0000  0.0000  0.2374
Co  0.5000  0.5000  0.0000
Pd  0.5000  0.5000  0.5000

# 5
The following is a DFT calculation (GGA-PBE) of a relaxed Ac6P3S2Br crystal.

Values from the calculation:
- D(E_F): 11.18 states/eV/cell
- Magnetic moment: 0.0 μB per formula unit
- Total DFT energy (no corrections): -5.91 eV/atom

Unit cell a=19.2151 b=4.3946 c=8.8511 alpha=90.00 beta=103.26 gamma=90.00
Space group C2/m (No. 12)
Asymmetric unit:
Ac  0.0007  0.0000  0.2284
Ac  0.1658  0.5000  0.0876
Ac  0.1753  0.5000  0.5841
P  0.0000  0.5000  0.0000
P  0.1640  0.0000  0.3339
S  0.1666  0.0000  0.8326
Br  0.0000  0.5000  0.5000

# 6
The following is a DFT calculation (GGA-PBE) of a relaxed Rb2MgNb crystal.

Values from the calculation:
- Energy of formation: 1.292 eV per atom
- D(E_F): 10.49 states/eV/cell
- Magnetic moment: 4.9 μB per formula unit
- Total DFT energy (no corrections): -2.11 eV/atom

Unit cell a=10.2705 b=10.2705 c=6.6600 alpha=90.00 beta=90.00 gamma=90.00
Space group I-42d (No. 122)
Asymmetric unit:
Rb  0.2431  0.2500  0.1250
Mg  0.0000  0.0000  0.5000
Nb  0.0000  0.0000  0.0000